Here is a geometry-optimized BeZn3 structure from the Alexandria database. Energies are from PBEsol.

Computed properties:
crystal system: tetragonal
E_form: 0.172 eV/atom
uncorrected energy: -2.014 eV/atom
N(E_F): 1.06 states/eV/cell
total magnetization: 0.0 μB per formula unit

POSCAR file:
```
BeZn3
1.0
2.572 0.000 0.000
0.000 4.470 0.000
0.000 0.000 4.470
Be Zn
1 3
Direct
0.000 0.000 0.000
0.500 0.500 0.000
0.000 0.500 0.500
0.500 0.000 0.500
```

Here is a geometry-optimized Be3Zn2 structure from the Alexandria database. Energies are from PBEsol.

Computed properties:
crystal system: orthorhombic
E_form: 0.199 eV/atom
uncorrected energy: -2.834 eV/atom
N(E_F): 1.56 states/eV/cell
total magnetization: 0.0 μB per formula unit

POSCAR file:
```
Be3Zn2
1.0
4.151 0.000 0.000
2.076 3.608 0.000
-2.076 0.000 7.292
Be Zn
6 4
Direct
0.443 0.173 0.749
0.867 0.827 0.251
0.944 0.673 0.751
0.866 0.327 0.249
0.886 0.000 0.000
0.136 0.500 0.500
0.530 0.669 0.925
0.274 0.331 0.075
0.854 0.169 0.575
0.449 0.831 0.425
```

Here is a geometry-optimized Be2Zn structure from the Alexandria database. Energies are from PBEsol.

Computed properties:
energy above the lowest structure with this stoichiometry: 0.180 eV/atom
crystal system: orthorhombic
E_form: 0.227 eV/atom
uncorrected energy: -2.967 eV/atom
N(E_F): 0.77 states/eV/cell
total magnetization: 0.0 μB per formula unit

POSCAR file:
```
Be2Zn
1.0
2.552 0.000 0.000
0.000 3.773 0.000
-1.276 -1.886 3.311
Be Zn
2 1
Direct
0.801 0.301 0.601
0.199 0.699 0.399
0.000 0.000 0.000
```

Here is a geometry-optimized Be2Zn structure from the Alexandria database. Energies are from PBEsol.

Computed properties:
energy above the lowest structure with this stoichiometry: 0.000 eV/atom
crystal system: cubic
E_form: 0.047 eV/atom
uncorrected energy: -3.147 eV/atom
N(E_F): 0.89 states/eV/cell
total magnetization: 0.0 μB per formula unit

POSCAR file:
```
Be2Zn
1.0
-0.653 -3.543 2.438
-0.922 -3.805 -1.896
2.941 -3.205 0.011
Be Zn
4 2
Direct
0.125 0.125 0.125
0.125 0.125 0.625
0.125 0.625 0.125
0.625 0.125 0.125
0.500 0.500 0.500
0.750 0.750 0.750
```

Here is a geometry-optimized Zr2Be2Zn structure from the Alexandria database. Energies are from PBEsol.

Computed properties:
crystal system: tetragonal
E_form: -0.233 eV/atom
uncorrected energy: -5.786 eV/atom
N(E_F): 3.69 states/eV/cell
total magnetization: 0.0 μB per formula unit

POSCAR file:
```
Zr2Be2Zn
1.0
-3.047 2.116 -1.286
-3.514 -2.293 4.551
1.702 4.683 3.673
Be Zn Zr
4 2 4
Direct
0.000 0.374 0.874
0.000 0.874 0.626
0.000 0.626 0.126
0.000 0.126 0.374
0.000 0.000 0.000
0.000 0.500 0.500
0.500 0.173 0.673
0.500 0.673 0.827
0.500 0.827 0.327
0.500 0.327 0.173
```

Here is a geometry-optimized ZrBe2Zn structure from the Alexandria database. Energies are from PBEsol.

Computed properties:
crystal system: tetragonal
E_form: -0.014 eV/atom
uncorrected energy: -4.682 eV/atom
N(E_F): 1.60 states/eV/cell
total magnetization: 0.0 μB per formula unit

POSCAR file:
```
ZrBe2Zn
1.0
-3.150 -1.120 -0.689
1.182 -1.067 -3.669
0.989 -3.624 1.372
Be Zn Zr
2 1 1
Direct
0.000 0.000 0.500
0.000 0.500 0.000
0.500 0.500 0.500
0.500 0.000 0.000
```

Here is a geometry-optimized ZrBe2Zn structure from the Alexandria database. Energies are from PBEsol.

Computed properties:
crystal system: monoclinic
E_form: 0.241 eV/atom
uncorrected energy: -4.427 eV/atom
N(E_F): 1.93 states/eV/cell
total magnetization: 0.0 μB per formula unit

POSCAR file:
```
ZrBe2Zn
1.0
2.535 0.029 0.040
-0.193 4.772 -0.002
-0.193 -1.410 4.559
Be Zn Zr
2 1 1
Direct
0.000 0.500 0.000
0.000 0.000 0.500
0.500 0.500 0.500
0.500 0.000 0.000
```

Here is a geometry-optimized ZrBe2Zn structure from the Alexandria database. Energies are from PBEsol.

Computed properties:
crystal system: tetragonal
E_form: 0.236 eV/atom
uncorrected energy: -4.432 eV/atom
N(E_F): 1.94 states/eV/cell
total magnetization: 0.0 μB per formula unit

POSCAR file:
```
ZrBe2Zn
1.0
-0.758 -1.752 -3.492
3.806 -1.136 -0.256
-3.177 -4.888 5.410
Be Zn Zr
4 2 2
Direct
0.625 0.375 0.750
0.125 0.375 0.750
0.625 0.875 0.250
0.625 0.375 0.250
0.500 0.500 0.000
0.750 0.250 0.500
0.000 0.000 0.000
0.250 0.750 0.500
```